DFT (PBEsol) results for a relaxed structure of YCuNi.

CIF file:
```
data_YCuNi
_chemical_formula_sum 'Y1 Cu1 Ni1'
_symmetry_space_group_name_H-M 'P 1'
_symmetry_Int_Tables_number 1
_symmetry_space_group_name_Hall 'P 1'
_cell_length_a 3.575
_cell_length_b 4.061
_cell_length_c 4.061
_cell_angle_alpha 120.00
_cell_angle_beta 90.00
_cell_angle_gamma 90.00
loop_
_atom_site_label
_atom_site_fract_x
_atom_site_fract_y
_atom_site_fract_z
Y1 0.500 0.667 0.333
Ni1 0.000 0.333 0.667
Cu1 0.000 0.000 0.000
```

Summary:
Energy of formation (meV per atom): -289
Magnetization (μB per cell): 0.00

DFT (PBEsol) results for a relaxed structure of Si2AgOs.

CIF file:
```
data_Si2AgOs
_chemical_formula_sum 'Si2 Ag1 Os1'
_symmetry_space_group_name_H-M 'P 1'
_symmetry_Int_Tables_number 1
_symmetry_space_group_name_Hall 'P 1'
_cell_length_a 3.042
_cell_length_b 3.652
_cell_length_c 5.087
_cell_angle_alpha 90.00
_cell_angle_beta 90.00
_cell_angle_gamma 90.00
loop_
_atom_site_label
_atom_site_fract_x
_atom_site_fract_y
_atom_site_fract_z
Si1 0.000 0.000 0.964
Os1 0.500 0.500 0.800
Ag1 0.000 0.000 0.464
Si2 0.500 0.500 0.272
```

Summary:
Excess energy over the best structure of this formula in the dataset (meV/atom): 0
Magnetization (μB per cell): 0.00
Formation energy (no corrections) (eV per atom): 0.022

DFT (PBEsol) results for a relaxed structure of AgO2F2.

CIF file:
```
data_AgO2F2
_chemical_formula_sum 'Ag1 O2 F2'
_symmetry_space_group_name_H-M 'P 1'
_symmetry_Int_Tables_number 1
_symmetry_space_group_name_Hall 'P 1'
_cell_length_a 4.014
_cell_length_b 3.994
_cell_length_c 3.994
_cell_angle_alpha 90.00
_cell_angle_beta 90.00
_cell_angle_gamma 90.00
loop_
_atom_site_label
_atom_site_fract_x
_atom_site_fract_y
_atom_site_fract_z
O1 0.000 0.500 0.000
Ag1 0.000 0.000 0.000
F1 0.500 0.500 0.500
F2 0.500 0.000 0.000
O2 0.000 0.000 0.500
```

Summary:
Excess energy over the best structure of this formula in the dataset (meV/atom): 0
Magnetization (μB per cell): 3.02
Formation energy (no corrections) (eV per atom): 0.390

DFT (PBEsol) results for a relaxed structure of NiSbI2F.

CIF file:
```
data_NiSbI2F
_chemical_formula_sum 'Ni1 Sb1 I2 F1'
_symmetry_space_group_name_H-M 'P 1'
_symmetry_Int_Tables_number 1
_symmetry_space_group_name_Hall 'P 1'
_cell_length_a 4.129
_cell_length_b 5.614
_cell_length_c 5.614
_cell_angle_alpha 90.00
_cell_angle_beta 90.00
_cell_angle_gamma 90.00
loop_
_atom_site_label
_atom_site_fract_x
_atom_site_fract_y
_atom_site_fract_z
Sb1 0.500 0.000 0.000
Ni1 0.500 0.500 0.500
I1 0.000 0.000 0.500
F1 0.000 0.000 0.000
I2 0.000 0.500 0.000
```

Summary:
Magnetization (μB per cell): 0.81
Formation energy (no corrections) (eV per atom): 0.315